Record 1
! PBEsol NaBeO2, relaxed; values from VASP
! raw formation energy: -1.718 eV per atom
&SYSTEM
  ibrav = 0, nat = 8, ntyp = 3
/
ATOMIC_SPECIES
Na 22.99 Na.upf
O 16.00 O.upf
Be 9.01 Be.upf
CELL_PARAMETERS angstrom
4.338 0.000 0.000
0.000 4.338 0.000
-2.169 -2.169 4.567
ATOMIC_POSITIONS angstrom
Na 0.000 2.169 2.283
Na 0.000 0.000 0.000
O 1.971 3.253 1.142
O 2.367 1.084 1.142
O -1.084 -0.198 3.425
O 1.084 0.198 3.425
Be 2.169 0.000 2.283
Be 2.169 2.169 0.000

Record 2
! PBEsol Na6BeO4, relaxed; values from VASP
! raw formation energy: -1.499 eV per atom
&SYSTEM
  ibrav = 0, nat = 22, ntyp = 3
/
ATOMIC_SPECIES
Na 22.99 Na.upf
Be 9.01 Be.upf
O 16.00 O.upf
CELL_PARAMETERS angstrom
5.704 0.000 0.000
0.000 7.241 0.000
0.000 -3.621 6.271
ATOMIC_POSITIONS angstrom
Na 0.627 -2.056 5.368
Na 4.490 0.000 5.855
Na 0.627 2.056 5.368
Na 4.490 -1.450 3.344
Na 4.490 1.450 3.344
Na 3.479 3.621 4.464
Na 0.627 0.000 1.807
Na 1.637 2.171 2.927
Na 1.637 5.070 2.927
Na 3.479 1.565 0.904
Na 1.637 3.621 0.416
Na 3.479 5.676 0.904
Be 2.242 0.000 4.181
Be 5.094 3.621 2.090
O 2.812 -1.427 5.005
O 0.550 0.000 4.181
O 2.812 1.427 5.005
O 2.812 0.000 2.533
O 5.664 3.621 3.738
O 3.402 3.621 2.090
O 5.664 2.194 1.267
O 5.664 5.047 1.267

Record 3
! PBEsol RbNa5Be8O11, relaxed; values from VASP
! raw formation energy: -2.243 eV per atom
&SYSTEM
  ibrav = 0, nat = 50, ntyp = 4
/
ATOMIC_SPECIES
Rb 85.47 Rb.upf
Na 22.99 Na.upf
Be 9.01 Be.upf
O 16.00 O.upf
CELL_PARAMETERS angstrom
6.442 -0.011 0.007
3.177 8.890 -0.025
0.167 4.810 9.416
ATOMIC_POSITIONS angstrom
Rb 5.584 2.386 0.569
Rb 4.202 11.302 8.829
Na 6.116 3.020 3.510
Na 6.341 6.249 4.515
Na 1.769 3.921 1.339
Na 2.629 4.573 4.351
Na 1.802 0.637 0.280
Na 3.445 7.439 4.883
Na 7.157 9.116 5.047
Na 8.018 9.768 8.059
Na 3.670 10.669 5.888
Na 7.984 13.052 9.118
Be 8.564 8.929 2.799
Be 6.591 11.597 6.823
Be 3.195 2.092 2.575
Be 6.656 6.163 1.412
Be 5.526 4.093 6.139
Be 3.289 5.406 6.857
Be 6.497 8.283 2.541
Be 4.526 4.833 2.380
Be 4.260 9.595 3.259
Be 5.261 8.856 7.018
Be 4.481 7.528 2.253
Be 1.222 4.760 6.599
Be 5.305 6.161 7.145
Be 7.398 6.815 7.390
Be 2.389 6.873 2.008
Be 3.130 7.526 7.986
O 3.987 6.199 8.124
O 3.206 8.397 1.669
O 3.833 3.488 2.639
O 2.880 9.630 4.015
O 2.568 3.982 7.117
O 2.008 6.243 6.263
O 7.218 9.707 2.281
O 7.778 7.446 3.135
O 5.953 10.201 6.759
O 1.649 1.981 2.607
O 8.082 6.134 0.790
O 8.137 11.708 6.791
O 5.799 7.489 1.274
O 4.588 5.353 5.869
O 6.019 4.873 1.987
O 3.767 8.816 7.411
O 3.721 6.138 2.611
O 6.580 5.291 7.729
O 6.065 7.550 6.787
O 1.705 7.555 8.608
O 5.198 8.335 3.529
O 6.906 4.058 5.383

Record 4
! PBEsol NaBeSi3O8, relaxed; values from VASP
! raw formation energy: -2.432 eV per atom
&SYSTEM
  ibrav = 0, nat = 52, ntyp = 4
/
ATOMIC_SPECIES
Na 22.99 Na.upf
Be 9.01 Be.upf
Si 28.09 Si.upf
O 16.00 O.upf
CELL_PARAMETERS angstrom
-4.961 0.080 -4.319
-5.384 -5.091 1.082
-10.812 7.369 7.546
ATOMIC_POSITIONS angstrom
Na -14.477 1.865 1.328
Na -15.083 1.636 7.030
Na -6.680 0.492 2.981
Na -6.074 0.721 -2.721
Be -15.428 1.308 3.924
Be -12.634 2.169 5.739
Be -5.729 1.050 0.386
Be -8.524 0.188 -1.429
Si -8.259 4.026 3.152
Si -16.999 4.584 3.183
Si -12.898 -1.668 1.158
Si -4.158 -2.227 1.126
Si -11.608 4.669 1.165
Si -14.478 3.954 4.449
Si -9.550 -2.311 3.145
Si -6.679 -1.597 -0.140
Si -10.930 2.408 3.157
Si -12.371 6.171 4.882
Si -10.228 -0.050 1.153
Si -8.787 -3.813 -0.572
O -14.168 0.444 4.497
O -16.837 3.081 2.603
O -6.990 1.914 -0.188
O -4.320 -0.723 1.706
O -15.632 0.384 2.573
O -13.982 3.119 5.738
O -5.526 1.974 1.736
O -7.175 -0.761 -1.429
O -7.886 3.724 1.614
O -2.692 -2.546 0.541
O -11.667 1.977 4.496
O -16.523 1.502 5.055
O -9.490 0.380 -0.186
O -4.634 0.856 -0.746
O -6.923 3.765 4.074
O -15.897 4.805 4.383
O -14.234 -1.408 0.235
O -5.260 -2.448 -0.073
O -9.415 2.951 3.622
O -11.712 5.593 6.308
O -11.742 -0.593 0.688
O -9.446 -3.235 -1.999
O -10.579 1.179 2.155
O -2.481 0.040 -2.159
O -11.790 3.510 2.308
O -13.350 5.098 4.129
O -9.367 -1.153 2.002
O -7.807 -2.740 0.180
O -14.724 2.743 3.350
O -13.131 0.731 6.493
O -6.433 -0.385 0.960
O -8.026 1.626 -2.183

Record 5
! PBEsol Na2BeSi2O6, relaxed; values from VASP
! relative energy among the computed polymorphs: 53.1 meV/atom
! raw formation energy: -2.547 eV per atom
&SYSTEM
  ibrav = 0, nat = 66, ntyp = 4
/
ATOMIC_SPECIES
Na 22.99 Na.upf
Be 9.01 Be.upf
Si 28.09 Si.upf
O 16.00 O.upf
CELL_PARAMETERS angstrom
7.069 0.000 0.000
3.534 10.547 0.000
3.534 0.000 10.952
ATOMIC_POSITIONS angstrom
Na 7.069 0.000 4.143
Na 7.182 3.569 6.873
Na 3.534 0.000 6.809
Na 5.188 1.705 9.555
Na 8.836 5.274 1.333
Na 12.484 8.843 9.555
Na 8.836 5.274 9.619
Na 5.188 8.843 1.397
Na 7.182 6.978 4.079
Na 10.490 6.978 6.873
Na 5.415 1.705 1.397
Na 3.421 3.569 4.079
Be 5.302 9.140 5.476
Be 3.534 3.866 0.000
Be 7.069 6.681 0.000
Be 8.836 5.274 5.476
Be 5.302 1.408 5.476
Be 0.000 0.000 0.000
Si 3.534 0.000 3.419
Si 3.613 3.357 7.098
Si 8.915 8.631 9.330
Si 7.069 0.000 7.533
Si 5.302 5.274 2.057
Si 10.682 7.190 3.854
Si 5.302 5.274 8.895
Si 6.990 7.190 7.098
Si 8.757 8.631 1.622
Si 6.990 3.357 3.854
Si 1.846 1.916 1.622
Si 8.757 1.916 9.330
O 3.987 4.847 1.247
O 6.551 2.283 4.967
O 3.192 1.321 2.420
O 7.837 6.000 6.480
O 9.354 7.556 10.443
O 9.605 0.727 9.948
O 4.959 3.953 7.896
O 7.411 1.321 8.532
O 5.754 0.427 6.723
O 9.720 2.637 8.214
O 9.834 6.000 4.472
O 8.318 7.556 0.509
O 6.616 4.847 9.705
O 2.285 2.991 0.509
O 8.318 2.991 10.443
O 11.121 8.264 4.967
O 6.616 5.700 1.247
O 9.834 4.547 6.480
O 5.754 10.121 4.229
O 9.605 9.820 1.004
O 4.052 2.283 5.985
O 4.849 0.427 4.229
O 0.998 0.727 1.004
O 5.644 3.953 3.056
O 9.720 7.910 2.738
O 7.411 9.226 2.420
O 11.056 5.700 9.705
O 8.067 9.820 9.948
O 10.261 9.226 8.532
O 11.917 10.121 6.723
O 4.959 6.595 3.056
O 7.837 4.547 4.472
O 7.952 2.637 2.738
O 5.644 6.595 7.896
O 7.952 7.910 8.214
O 6.551 8.264 5.985

Record 6
! PBEsol Na2BeSi2O6, relaxed; values from VASP
! relative energy among the computed polymorphs: 0.0 meV/atom
! raw formation energy: -2.600 eV per atom
&SYSTEM
  ibrav = 0, nat = 66, ntyp = 4
/
ATOMIC_SPECIES
Na 22.99 Na.upf
Be 9.01 Be.upf
Si 28.09 Si.upf
O 16.00 O.upf
CELL_PARAMETERS angstrom
6.886 0.000 0.000
3.443 10.584 0.000
3.443 0.000 10.588
ATOMIC_POSITIONS angstrom
Na 6.927 3.681 5.942
Na 1.793 1.954 3.493
Na 8.608 5.292 0.240
Na 10.329 10.584 8.266
Na 6.815 7.246 8.787
Na 8.536 8.631 3.493
Na 5.123 8.972 0.647
Na 10.401 3.338 8.787
Na 10.287 6.904 5.942
Na 5.165 5.292 2.971
Na 3.443 0.000 5.534
Na 5.206 1.612 0.648
Be 3.340 7.024 1.597
Be 6.989 3.561 1.597
Be 8.708 1.732 6.892
Be 8.505 8.853 6.891
Be 3.443 0.000 2.439
Be 5.164 5.292 7.733
Si 1.763 1.406 0.260
Si 10.248 7.410 9.007
Si 3.443 0.000 8.676
Si 6.966 3.174 9.008
Si 3.484 3.886 5.554
Si 6.845 6.698 5.555
Si 5.084 8.466 3.713
Si 8.608 5.292 10.587
Si 8.566 9.178 0.260
Si 10.329 10.584 5.292
Si 5.245 2.118 3.713
Si 8.607 5.292 3.382
O 9.163 2.833 5.744
O 8.051 7.751 5.744
O 12.460 10.292 9.677
O 9.919 5.000 4.383
O 6.349 9.420 3.454
O 5.468 7.394 4.931
O 11.513 6.456 8.749
O 4.755 0.292 9.677
O 3.859 5.667 0.853
O 5.702 4.128 8.748
O 2.887 8.125 0.450
O 6.417 5.853 6.855
O 3.980 1.164 3.454
O 9.023 10.210 6.147
O 7.296 5.584 4.383
O 8.139 10.024 1.561
O 4.603 7.615 2.440
O 8.256 3.971 2.531
O 10.632 8.482 10.226
O 3.911 4.731 6.855
O 3.090 1.321 7.825
O 8.959 6.613 2.531
O 6.470 4.918 0.853
O 4.861 3.190 4.931
O 8.191 0.374 6.147
O 2.190 0.561 1.561
O 6.562 1.298 4.302
O 6.583 2.102 10.226
O 7.238 9.263 7.825
O 7.447 2.323 7.734
O 7.442 2.459 0.450
O 10.653 9.287 4.302
O 8.284 3.994 9.596
O 9.767 8.262 7.734
O 5.727 2.969 2.440
O 8.931 6.590 9.596

Record 7
! PBEsol Na3BeOs, relaxed; values from VASP
! ΔH_f (0 K): 1.85 eV/atom
&SYSTEM
  ibrav = 0, nat = 5, ntyp = 3
/
ATOMIC_SPECIES
Na 22.99 Na.upf
Os 190.23 Os.upf
Be 9.01 Be.upf
CELL_PARAMETERS angstrom
-1.522 4.589 -1.172
-1.446 0.722 4.705
4.510 1.780 1.113
ATOMIC_POSITIONS angstrom
Na -0.723 0.361 2.352
Na 2.255 0.890 0.557
Na -0.761 2.294 -0.586
Os 0.771 3.545 2.323
Be 0.000 0.000 0.000

Record 8
! PBEsol NaBe2P, relaxed; values from VASP
! ΔH_f (0 K): 0.39 eV/atom
&SYSTEM
  ibrav = 0, nat = 8, ntyp = 3
/
ATOMIC_SPECIES
P 30.97 P.upf
Be 9.01 Be.upf
Na 22.99 Na.upf
CELL_PARAMETERS angstrom
-3.745 -1.534 3.947
4.576 -3.083 1.229
0.039 5.644 0.315
ATOMIC_POSITIONS angstrom
P 0.000 0.000 0.000
P 1.569 -1.668 2.974
Be 2.954 -1.713 1.359
Be -3.238 2.100 3.746
Be 0.253 -0.244 2.098
Be 1.771 1.912 3.778
Na 2.308 1.281 0.772
Na -0.699 2.695 2.517

Record 9
! PBEsol NaBeP2, relaxed; values from VASP
! ΔH_f (0 K): -0.08 eV/atom
&SYSTEM
  ibrav = 0, nat = 8, ntyp = 3
/
ATOMIC_SPECIES
P 30.97 P.upf
Be 9.01 Be.upf
Na 22.99 Na.upf
CELL_PARAMETERS angstrom
-0.687 4.384 1.224
-3.550 0.258 -2.919
-2.210 -4.418 5.926
ATOMIC_POSITIONS angstrom
P -4.035 1.518 -0.404
P -2.367 2.076 1.248
P -2.796 -2.689 3.732
P -3.697 -0.456 3.886
Be -2.508 1.144 3.151
Be -2.119 2.321 -0.848
Na -3.939 -0.919 1.080
Na 0.000 0.000 0.000

Record 10
! PBEsol NaBeP3, relaxed; values from VASP
! ΔH_f (0 K): 1.83 eV/atom
&SYSTEM
  ibrav = 0, nat = 5, ntyp = 3
/
ATOMIC_SPECIES
P 30.97 P.upf
Be 9.01 Be.upf
Na 22.99 Na.upf
CELL_PARAMETERS angstrom
4.698 0.000 0.000
0.000 4.698 0.000
0.000 0.000 4.698
ATOMIC_POSITIONS angstrom
P 0.000 2.349 0.000
P 0.000 0.000 2.349
P 2.349 0.000 0.000
Be 2.349 2.349 2.349
Na 0.000 0.000 0.000

Record 11
! PBEsol NaBePS2, relaxed; values from VASP
! raw formation energy: 0.038 eV per atom
&SYSTEM
  ibrav = 0, nat = 5, ntyp = 4
/
ATOMIC_SPECIES
P 30.97 P.upf
S 32.06 S.upf
Be 9.01 Be.upf
Na 22.99 Na.upf
CELL_PARAMETERS angstrom
-0.413 0.692 4.002
-4.463 -0.936 -0.299
0.867 -4.406 0.851
ATOMIC_POSITIONS angstrom
P -0.207 0.346 2.001
S 0.433 -2.203 0.426
S -2.232 -0.468 -0.150
Be 0.000 0.000 0.000
Na -2.005 -2.325 2.277

Record 12
! PBEsol NaBe2SbP, relaxed; values from VASP
! raw formation energy: 1.518 eV per atom
&SYSTEM
  ibrav = 0, nat = 5, ntyp = 4
/
ATOMIC_SPECIES
Sb 121.76 Sb.upf
Na 22.99 Na.upf
Be 9.01 Be.upf
P 30.97 P.upf
CELL_PARAMETERS angstrom
-2.248 3.528 -1.733
-3.821 -1.493 1.917
0.978 2.563 3.948
ATOMIC_POSITIONS angstrom
Sb -2.545 2.299 2.066
Na 0.000 0.000 0.000
Be -1.911 -0.747 0.958
Be -1.124 1.764 -0.867
P 0.489 1.281 1.974

| no. | calculated volume (Å³ per cell) |
| --- | --- |
| 1 | 85.93 |
| 2 | 259.04 |
| 3 | 540.46 |
| 4 | 641.53 |
| 5 | 816.54 |
| 6 | 771.69 |
| 7 | 123.09 |
| 8 | 134.18 |
| 9 | 148.24 |
| 10 | 103.72 |
| 11 | 85.26 |
| 12 | 98.57 |